This record from the Alexandria database describes a geometry-optimized CuW2 structure. The functional is PBE.

a b c (Å): 6.9785 6.9785 3.1837
angles (deg): 90.00 90.00 120.00
Fractional positions:
Cu  0.0000  0.0000  0.0000
Cu  0.3333  0.6667  0.5000
Cu  0.6667  0.3333  0.5000
W  0.0000  0.2713  0.5000
W  0.0000  0.6218  0.0000
W  0.2713  0.0000  0.5000
W  0.3782  0.3782  0.0000
W  0.6218  0.0000  0.0000
W  0.7287  0.7287  0.5000

Output
**Calculated volume**: 14.919 Å³ per atom
**Size of the total moment**: 0.000 μB/f.u.
**ΔH_f (0 K)**: 1.4 eV/f.u.
**Raw total energy**: -85.95 eV per cell
**D(E_F)**: 3.87 states/eV/cell